# 1
# ZrAl2Hg

A geometry-optimized ZrAl2Hg structure (PBEsol, Alexandria).

Cell: 7.4312 7.4312 5.8032 Å, 90.00 90.00 90.00°
Space group I-42d (No. 122)
Symmetry-distinct sites (fractional):
1 Zr 0.0000 0.0000 0.0000
2 Al 0.2242 0.7500 0.6250
3 Hg 0.0000 0.0000 0.5000

Results
- Size of the total moment: 0.00 Bohr magnetons per cell
- DOS at the Fermi energy: 7.9 states/eV/cell
- ΔH_f (0 K): 11.1 meV per atom

***

# 2
# KMoAs2Br

A geometry-optimized KMoAs2Br structure (PBEsol, Alexandria).

Cell: 5.3220 5.3220 5.4049 Å, 90.00 90.00 90.00°
Space group P4/mmm (No. 123)
Symmetry-distinct sites (fractional):
1 K 0.0000 0.0000 0.0000
2 Mo 0.5000 0.5000 0.5000
3 As 0.0000 0.5000 0.0000
4 Br 0.0000 0.0000 0.5000

Results
- Size of the total moment: 2.42 Bohr magnetons per cell
- DOS at the Fermi energy: 3.6 states/eV/cell
- Formation energy (no corrections): 1.827 eV/atom

***

# 3
# Te3Pb

A geometry-optimized Te3Pb structure (PBEsol, Alexandria).

Cell: 5.4587 5.4587 3.7968 Å, 90.00 90.00 90.00°
Space group P4/mmm (No. 123)
Symmetry-distinct sites (fractional):
1 Te 0.0000 0.0000 0.0000
2 Te 0.0000 0.5000 0.5000
3 Pb 0.5000 0.5000 0.0000

Results
- Size of the total moment: 0.00 Bohr magnetons per cell
- DOS at the Fermi energy: 2.6 states/eV/cell
- Formation energy (no corrections): 0.025 eV/atom

***

# 4
# AgTeCl2

A geometry-optimized AgTeCl2 structure (PBEsol, Alexandria).

Cell: 6.2516 7.6318 7.8131 Å, 90.00 90.00 90.00°
Space group Fmmm (No. 69)
Symmetry-distinct sites (fractional):
1 Ag 0.0000 0.0000 0.0000
2 Te 0.0000 0.0000 0.5000
3 Cl 0.0000 0.2500 0.2500

Results
- Size of the total moment: 0.00 Bohr magnetons per cell
- DOS at the Fermi energy: 4.7 states/eV/cell
- Formation energy (no corrections): -0.131 eV/atom